1.
Density functional theory data (GGA-PBE) for LiNdSbIr after structural relaxation.

For the formation energy without anion corrections, the calculation gives -0.677 eV/atom. Its size of the total moment is 0.000 μB/f.u. The calculated volume is 19.62 Å³ per atom.

It has space group F-43m (No. 216), with a = 6.7960 Å, b = 6.7960 Å, c = 6.7960 Å, α = 90.00°, β = 90.00° and γ = 90.00°. Symmetry generates all atoms from Li at (0.0000, 0.0000, 0.0000), Nd at (0.2500, 0.2500, 0.7500), Sb at (0.2500, 0.2500, 0.2500) and Ir at (0.0000, 0.0000, 0.5000).

2.
Density functional theory data (GGA-PBE) for LiNdScIr after structural relaxation.

Its size of the total moment is 0.000 μB/f.u. The calculated volume is 20.44 Å³ per atom. The calculation puts the formation energy at -470.5 meV per atom.

It has space group F-43m (No. 216), with a = 6.8895 Å, b = 6.8895 Å, c = 6.8895 Å, α = 90.00°, β = 90.00° and γ = 90.00°. Symmetry generates all atoms from Li at (0.0000, 0.0000, 0.0000), Nd at (0.2500, 0.2500, 0.7500), Sc at (0.2500, 0.2500, 0.2500) and Ir at (0.0000, 0.0000, 0.5000).

3.
Density functional theory data (GGA-PBE) for LiNdSi2Ir after structural relaxation.

For the formation energy without anion corrections, the calculation gives -0.759 eV/atom. Its size of the total moment is 0.000 μB/f.u. The calculated volume is 17.34 Å³ per atom.

It has space group I-4m2 (No. 119), with a = 4.1433 Å, b = 4.1433 Å, c = 10.0984 Å, α = 90.00°, β = 90.00° and γ = 90.00°. Symmetry generates all atoms from Li at (0.0000, 0.0000, 0.0000), Nd at (0.0000, 0.5000, 0.7500), Si at (0.0000, 0.5000, 0.1280) and Ir at (0.0000, 0.0000, 0.5000).